Computed, not measured: an optimized crystal structure of YAlF2 at the PBE level of DFT.

Structure (CIF):
```
data_YAlF2
_space_group_name_H-M_alt 'P 1'
_space_group_IT_number 1
_cell_length_a 4.512
_cell_length_b 4.512
_cell_length_c 4.512
_cell_angle_alpha 60.00
_cell_angle_beta 60.00
_cell_angle_gamma 60.00
loop_
_space_group_symop_operation_xyz
'x,y,z'
loop_
_atom_site_label
_atom_site_fract_x
_atom_site_fract_y
_atom_site_fract_z
Y1 0.000 0.000 0.000
Al1 0.500 0.500 0.500
F1 0.250 0.250 0.250
F2 0.750 0.750 0.750
```

Results
* uncorrected energy: -0.1855 hartree per atom
* volume: 65 Å³/cell
* theoretical density: 3.93 g/cm³
* spin magnetization: 1.37 μB/cell
* formation energy without anion corrections: -1.560 eV per atom

---

Computed, not measured: an optimized crystal structure of Tl2HgOs at the PBE level of DFT.

Structure (CIF):
```
data_Tl2HgOs
_space_group_name_H-M_alt 'P 1'
_space_group_IT_number 1
_cell_length_a 4.993
_cell_length_b 4.993
_cell_length_c 4.993
_cell_angle_alpha 60.00
_cell_angle_beta 60.00
_cell_angle_gamma 60.00
loop_
_space_group_symop_operation_xyz
'x,y,z'
loop_
_atom_site_label
_atom_site_fract_x
_atom_site_fract_y
_atom_site_fract_z
Tl1 0.250 0.250 0.250
Tl2 0.750 0.750 0.750
Hg1 0.000 0.000 0.000
Os1 0.500 0.500 0.500
```

Results
* uncorrected energy: -0.1126 hartree per atom
* volume: 88 Å³/cell
* energy of formation from the pure elements: 1.003 eV/atom
* theoretical density: 15.08 g/cm³
* spin magnetization: 0.68 μB/cell

---

Computed, not measured: an optimized crystal structure of Nd8InAu2 at the PBE level of DFT.

Structure (CIF):
```
data_Nd8InAu2
_space_group_name_H-M_alt 'P 1'
_space_group_IT_number 1
_cell_length_a 8.474
_cell_length_b 8.474
_cell_length_c 5.621
_cell_angle_alpha 99.07
_cell_angle_beta 99.07
_cell_angle_gamma 115.79
loop_
_space_group_symop_operation_xyz
'x,y,z'
loop_
_atom_site_label
_atom_site_fract_x
_atom_site_fract_y
_atom_site_fract_z
Nd1 0.080 0.314 0.579
Nd2 0.238 0.762 0.000
Nd3 0.314 0.080 0.579
Nd4 0.394 0.394 0.192
Nd5 0.606 0.606 0.808
Nd6 0.686 0.920 0.421
Nd7 0.762 0.238 0.000
Nd8 0.920 0.686 0.421
In1 0.000 0.000 0.000
Au1 0.310 0.690 0.500
Au2 0.690 0.310 0.500
```

Results
* uncorrected energy: -0.1689 hartree per atom
* volume: 347 Å³/cell
* energy of formation from the pure elements: -0.285 eV/atom
* theoretical density: 7.95 g/cm³
* spin magnetization: 0.00 μB/cell

---

Computed, not measured: an optimized crystal structure of Ce2YTh9 at the PBE level of DFT.

Structure (CIF):
```
data_Ce2YTh9
_space_group_name_H-M_alt 'P 1'
_space_group_IT_number 1
_cell_length_a 4.998
_cell_length_b 4.998
_cell_length_c 15.055
_cell_angle_alpha 90.00
_cell_angle_beta 90.00
_cell_angle_gamma 90.00
loop_
_space_group_symop_operation_xyz
'x,y,z'
loop_
_atom_site_label
_atom_site_fract_x
_atom_site_fract_y
_atom_site_fract_z
Ce1 0.000 0.000 0.166
Ce2 0.000 0.000 0.834
Y1 0.000 0.000 0.500
Th1 0.000 0.500 0.000
Th2 0.000 0.500 0.329
Th3 0.000 0.500 0.671
Th4 0.500 0.000 0.000
Th5 0.500 0.000 0.329
Th6 0.500 0.000 0.671
Th7 0.500 0.500 0.163
Th8 0.500 0.500 0.500
Th9 0.500 0.500 0.837
```

Results
* uncorrected energy: -0.2595 hartree per atom
* volume: 376 Å³/cell
* energy of formation from the pure elements: 0.031 eV/atom
* theoretical density: 10.85 g/cm³
* spin magnetization: 0.00 μB/cell

---

What did we get for N(E_F)? Answer: 3.40; 3.95; 16.87; 22.38 states/eV/f.u., in the order shown.